Here is an optimized crystal structure of FeSiW from Alexandria via LeMat-Bulk. Energies are from GGA-PBEsol.

Geometry as POSCAR:
```
FeSiW
1.0
2.759 0.000 0.000
0.000 2.759 0.000
-1.379 -1.379 4.790
W Fe Si
1 1 1
Direct
0.665 0.665 0.330
0.982 0.982 0.965
0.353 0.353 0.706
```

Formation energy (no corrections)   -0.2964 eV/atom

---

Here is an optimized crystal structure of NdY3 from Alexandria via LeMat-Bulk. Energies are from GGA-PBEsol.

Geometry as POSCAR:
```
NdY3
1.0
-2.409 -2.820 3.334
4.108 -0.174 2.821
-1.479 4.109 2.407
Nd Y
1 3
Direct
0.000 0.000 0.000
0.500 0.000 0.500
0.500 0.500 0.000
0.000 0.500 0.500
```

Energy of formation from the pure elements   0.014 eV per atom

---

Here is an optimized crystal structure of ZrMo2P from Alexandria via LeMat-Bulk. Energies are from GGA-PBEsol.

Geometry as POSCAR:
```
ZrMo2P
1.0
3.026 0.015 0.000
-0.112 4.569 0.000
-1.457 -2.292 4.612
Zr Mo P
1 2 1
Direct
0.500 0.000 0.000
0.000 0.000 0.500
0.500 0.500 0.500
0.000 0.500 0.000
```

Energy of formation from the pure elements   -0.040 eV per atom

---

Here is an optimized crystal structure of ZnHgOs2 from Alexandria via LeMat-Bulk. Energies are from GGA-PBEsol.

Geometry as POSCAR:
```
ZnHgOs2
1.0
4.400 0.000 0.000
2.200 3.811 0.000
2.200 1.270 3.593
Os Zn Hg
2 1 1
Direct
0.250 0.250 0.250
0.750 0.750 0.750
0.500 0.500 0.500
0.000 0.000 0.000
```

Energy of formation from the pure elements   0.917 eV per atom

---

Here is an optimized crystal structure of Sc3SiPb from Alexandria via LeMat-Bulk. Energies are from GGA-PBEsol.

Geometry as POSCAR:
```
Sc3SiPb
1.0
-2.354 3.512 2.541
-3.926 -0.501 -2.945
-1.839 -3.428 3.034
Sc Pb Si
3 1 1
Direct
0.000 0.500 0.000
0.000 0.000 0.500
0.500 0.000 0.000
0.500 0.500 0.500
0.000 0.000 0.000
```

Formation energy (no corrections)   -0.3802 eV/atom

---

Here is an optimized crystal structure of BeGaAs2Br from Alexandria via LeMat-Bulk. Energies are from GGA-PBEsol.

Geometry as POSCAR:
```
BeGaAs2Br
1.0
5.034 0.000 0.000
0.000 5.034 0.000
0.000 0.000 5.237
Be As Br Ga
1 2 1 1
Direct
0.500 0.500 0.500
0.000 0.500 0.000
0.500 0.000 0.000
0.000 0.000 0.000
0.000 0.000 0.500
```

Formation energy (no corrections)   1.3719 eV/atom

---

Here is an optimized crystal structure of HfAsBr2F from Alexandria via LeMat-Bulk. Energies are from GGA-PBEsol.

Geometry as POSCAR:
```
HfAsBr2F
1.0
3.884 0.000 0.000
0.000 5.091 0.000
0.000 0.000 5.091
F Hf Br As
1 1 2 1
Direct
0.000 0.000 0.000
0.500 0.500 0.500
0.000 0.000 0.500
0.000 0.500 0.000
0.500 0.000 0.000
```

Formation energy (no corrections)   -0.0408 eV/atom

---

Here is an optimized crystal structure of BeSiNi6 from Alexandria via LeMat-Bulk. Energies are from GGA-PBEsol.

Geometry as POSCAR:
```
BeSiNi6
1.0
5.929 -0.001 0.000
-1.974 5.591 0.000
0.000 0.000 9.686
Si Ni Be
4 24 4
Direct
0.000 0.000 0.754
0.252 0.748 0.500
0.748 0.252 0.500
0.000 0.000 0.246
0.500 0.500 0.000
0.126 0.377 0.877
0.251 0.749 0.247
0.377 0.126 0.877
0.874 0.623 0.123
0.874 0.623 0.877
0.749 0.251 0.753
0.126 0.375 0.373
0.625 0.874 0.627
0.625 0.874 0.373
0.000 0.000 0.000
0.377 0.126 0.123
0.500 0.500 0.500
0.749 0.251 0.247
0.375 0.126 0.373
0.874 0.625 0.627
0.623 0.874 0.877
0.375 0.126 0.627
0.251 0.749 0.753
0.623 0.874 0.123
0.874 0.625 0.373
0.000 0.000 0.500
0.126 0.375 0.627
0.126 0.377 0.123
0.500 0.500 0.754
0.749 0.251 0.000
0.500 0.500 0.246
0.251 0.749 0.000
```

Formation energy (no corrections)   -0.3448 eV/atom

---

Here is an optimized crystal structure of TaCd5 from Alexandria via LeMat-Bulk. Energies are from GGA-PBEsol.

Geometry as POSCAR:
```
TaCd5
1.0
5.555 0.000 0.000
2.778 4.811 0.000
2.778 1.604 4.536
Cd Ta
5 1
Direct
0.877 0.374 0.374
0.374 0.374 0.374
0.374 0.374 0.877
0.750 0.750 0.750
0.374 0.877 0.374
0.000 0.000 0.000
```

Energy of formation from the pure elements   0.530 eV per atom

---

Here is an optimized crystal structure of FeCo2 from Alexandria via LeMat-Bulk. Energies are from GGA-PBEsol.

Geometry as POSCAR:
```
FeCo2
1.0
2.771 0.000 0.000
0.000 3.922 0.000
0.000 -1.961 5.930
Fe Co
2 4
Direct
0.750 0.083 0.167
0.250 0.917 0.833
0.750 0.755 0.510
0.250 0.245 0.490
0.250 0.585 0.169
0.750 0.415 0.831
```

Energy of formation from the pure elements   0.046 eV per atom

---

Here is an optimized crystal structure of BaRuO3 from Alexandria via LeMat-Bulk. Energies are from GGA-PBEsol.

Geometry as POSCAR:
```
BaRuO3
1.0
-2.209 -2.390 2.300
3.294 -1.905 1.185
0.389 2.558 3.032
O Ba Ru
3 1 1
Direct
0.500 0.000 0.000
0.000 0.000 0.500
0.000 0.500 0.000
0.500 0.500 0.500
0.000 0.000 0.000
```

Formation energy (no corrections)   -1.7814 eV/atom

---

Here is an optimized crystal structure of MnBeNO2 from Alexandria via LeMat-Bulk. Energies are from GGA-PBEsol.

Geometry as POSCAR:
```
MnBeNO2
1.0
3.490 0.000 0.000
0.000 3.695 0.000
0.000 0.000 3.695
O Be Mn N
2 1 1 1
Direct
0.000 0.500 0.000
0.000 0.000 0.500
0.500 0.500 0.500
0.000 0.000 0.000
0.500 0.000 0.000
```

Formation energy (no corrections)   -0.1564 eV/atom